## one
## As2PCl (PBE)

Data for a relaxed structure of As2PCl.

SG ... I-4m2
DOS(E_F) ... 2.71 states/eV per cell

```
4
Lattice="-2.345 2.345 3.308 2.345 -2.345 3.308 2.345 2.345 -3.308" Properties=species:S:1:pos:R:3 pbc="T T T"
As 0.000 0.000 0.000
As 0.000 2.345 1.654
P 2.345 0.000 1.654
Cl 0.000 0.000 3.308
```


## two
## As2PCl (PBE)

Data for a relaxed structure of As2PCl.

SG ... Fm-3m
DOS(E_F) ... 2.43 states/eV per cell

```
4
Lattice="0.000 3.302 3.302 3.302 0.000 3.302 3.302 3.302 0.000" Properties=species:S:1:pos:R:3 pbc="T T T"
As 1.651 1.651 1.651
As 4.953 4.953 4.953
P 0.000 0.000 0.000
Cl 3.302 3.302 3.302
```


## three
## As2PCl (PBE)

Data for a relaxed structure of As2PCl.

SG ... Cmmm
DOS(E_F) ... 1.99 states/eV per cell

```
4
Lattice="1.766 -3.508 0.000 1.766 3.508 0.000 0.000 0.000 7.531" Properties=species:S:1:pos:R:3 pbc="T T T"
As 0.000 0.000 1.616
As 0.000 0.000 5.915
P 1.766 0.000 0.000
Cl 1.766 0.000 3.766
```


What should be chosen as the most stable of them? Choose three.


## one
## AsPCl2 (PBE)

Data for a relaxed structure of AsPCl2.

SG ... C2/m
DOS(E_F) ... 1.66 states/eV per cell

```
4
Lattice="3.104 -4.388 0.000 3.104 4.388 0.000 -1.593 0.000 2.830" Properties=species:S:1:pos:R:3 pbc="T T T"
As 0.000 0.000 0.000
P 3.104 0.000 0.000
Cl 1.552 2.194 0.000
Cl 1.552 -2.194 0.000
```


## two
## AsPCl2 (PBE)

Data for a relaxed structure of AsPCl2.

SG ... P2/m
DOS(E_F) ... 2.16 states/eV per cell

```
4
Lattice="4.406 0.000 0.000 0.000 4.221 0.000 -0.214 0.000 4.414" Properties=species:S:1:pos:R:3 pbc="T T T"
As 0.000 0.000 0.000
P 2.096 0.000 2.207
Cl 0.961 2.111 3.291
Cl 3.231 2.111 1.123
```


What should be chosen as the most stable of them? Choose two.


## one
## AsPCl2 (PBE)

Data for a relaxed structure of AsPCl2.

SG ... I4/mmm
DOS(E_F) ... 2.88 states/eV per cell

```
4
Lattice="-2.119 2.119 4.226 2.119 -2.119 4.226 2.119 2.119 -4.226" Properties=species:S:1:pos:R:3 pbc="T T T"
As 0.000 0.000 0.000
P 0.000 0.000 4.226
Cl 2.119 0.000 2.113
Cl 0.000 2.119 2.113
```


## two
## AsPCl2 (PBE)

Data for a relaxed structure of AsPCl2.

SG ... Cmmm
DOS(E_F) ... 2.92 states/eV per cell

```
4
Lattice="1.545 -2.842 0.000 1.545 2.842 0.000 0.000 0.000 11.712" Properties=species:S:1:pos:R:3 pbc="T T T"
As 0.000 0.000 0.000
P 0.000 0.000 5.856
Cl 1.545 0.000 4.040
Cl 1.545 0.000 7.673
```


What should be chosen as the most stable of them? Choose two.


## one
## AsPCl2 (PBE)

Data for a relaxed structure of AsPCl2.

SG ... Cmmm
DOS(E_F) ... 2.14 states/eV per cell

```
4
Lattice="3.001 -4.215 0.000 3.001 4.215 0.000 0.000 0.000 2.985" Properties=species:S:1:pos:R:3 pbc="T T T"
As 0.000 0.000 0.000
P 3.001 0.000 0.000
Cl 1.500 2.107 1.493
Cl 1.500 -2.107 1.493
```


## two
## AsPCl2 (PBE)

Data for a relaxed structure of AsPCl2.

SG ... P4/mmm
DOS(E_F) ... 2.35 states/eV per cell

```
4
Lattice="2.965 0.000 0.000 0.000 2.965 0.000 0.000 0.000 10.725" Properties=species:S:1:pos:R:3 pbc="T T T"
As 0.000 0.000 0.000
P 0.000 0.000 5.362
Cl 1.483 1.483 3.711
Cl 1.483 1.483 7.014
```


## three
## AsPCl2 (PBE)

Data for a relaxed structure of AsPCl2.

SG ... Fm-3m
DOS(E_F) ... 2.84 states/eV per cell

```
4
Lattice="0.000 3.369 3.369 3.369 0.000 3.369 3.369 3.369 0.000" Properties=species:S:1:pos:R:3 pbc="T T T"
As 0.000 0.000 0.000
P 3.369 3.369 3.369
Cl 1.685 1.685 1.685
Cl 5.054 5.054 5.054
```


What should be chosen as the most stable of them? Choose two.